Entry from the Alexandria database: crystalline SmGdScRh at its relaxed geometry (PBE).

Unit cell a=7.247 b=7.247 c=7.247 alpha=90.00 beta=90.00 gamma=90.00
Space group F-43m (No. 216)
Asymmetric unit:
Sm  0.000  0.000  0.000
Gd  0.000  0.000  0.500
Sc  0.250  0.250  0.250
Rh  0.250  0.250  0.750

Results
Total energy in eV per atom: -8.268
Density of states at the Fermi level in states/eV/cell: 21.715
Energy relative to the elements in eV/atom: -0.1477